Here is a geometry-optimized K2LaTc structure from Alexandria. Energies are from GGA-PBE.

Lattice parameters (Å, degrees): 3.023 3.023 13.242 90.00 90.00 90.00
Element x y z (fractional)
Tc: 0.500 0.500 0.750
K: 0.000 0.000 0.954
K: 0.000 0.000 0.546
La: 0.500 0.500 0.250

Output
Formation energy, meV/atom: 1220
Uncorrected energy, eV/atom: -3.1526